A relaxed Tb6Bi3SbSe2 crystal, computed with GGA-PBE.

The value obtained for the density of states at the Fermi level is 4.65 states/eV/cell. For the total energy, the calculation gives -5.4159 eV per atom. The uncorrected formation energy comes out at -1.21 eV/atom. Its magnetic moment is 0.000 μB per atom.

Unit cell a=9.7260 b=9.7260 c=8.7069 alpha=103.04 beta=103.04 gamma=25.87
Last column: nearest neighbours and their distance in Å.
Element x y z (fractional)
Tb 0.0060 0.0060 0.2487  1 Se 3.00, 2 Sb 3.05, 3 Bi 3.11-3.15
Tb 0.3293 0.3293 0.4264  3 Se 2.97-3.00, 3 Bi 3.14-3.15
Tb 0.3331 0.3331 0.9058  2 Se 3.02, 1 Sb 3.08, 3 Bi 3.11-3.16
Tb 0.6669 0.6669 0.0942  2 Se 3.02, 1 Sb 3.08, 3 Bi 3.11-3.16
Tb 0.6707 0.6707 0.5736  3 Se 2.97-3.00, 3 Bi 3.14-3.15
Tb 0.9940 0.9940 0.7513  1 Se 3.00, 2 Sb 3.05, 3 Bi 3.11-3.15
Bi 0.1648 0.1648 0.8307  6 Tb 3.11-3.16
Bi 0.5000 0.5000 0.5000  6 Tb 3.11-3.15
Bi 0.8352 0.8352 0.1693  6 Tb 3.11-3.16
Sb 0.5000 0.5000 0.0000  6 Tb 3.05-3.08
Se 0.1685 0.1685 0.3350  6 Tb 2.97-3.02
Se 0.8315 0.8315 0.6650  6 Tb 2.97-3.02

***

A relaxed Rb3Np3WS8 crystal, computed with GGA-PBE.

The value obtained for the density of states at the Fermi level is 29.69 states/eV/cell. For the total energy, the calculation gives -6.9982 eV per atom. The uncorrected formation energy comes out at -1.15 eV/atom. Its magnetic moment is 0.937 μB per atom.

Unit cell a=9.1121 b=9.1121 c=9.1121 alpha=51.13 beta=51.13 gamma=51.13
Last column: nearest neighbours and their distance in Å.
Element x y z (fractional)
Rb 0.0000 0.5000 0.5000  6 S 3.31-3.34
Rb 0.5000 0.0000 0.5000  6 S 3.31-3.34
Rb 0.5000 0.5000 0.0000  6 S 3.31-3.34
Np 0.0000 0.0000 0.5000  6 S 2.74-2.76
Np 0.0000 0.5000 0.0000  6 S 2.74-2.76
Np 0.5000 0.0000 0.0000  6 S 2.74-2.76
W 0.5000 0.5000 0.5000  6 S 2.53
S 0.2316 0.2316 0.2316  3 Np 2.74
S 0.2529 0.7138 0.7138  1 W 2.53, 2 Np 2.76
S 0.2862 0.2862 0.7471  1 W 2.53, 2 Np 2.76
S 0.2862 0.7471 0.2862  1 W 2.53, 2 Np 2.76
S 0.7138 0.2529 0.7138  1 W 2.53, 2 Np 2.76
S 0.7138 0.7138 0.2529  1 W 2.53, 2 Np 2.76
S 0.7471 0.2862 0.2862  1 W 2.53, 2 Np 2.76
S 0.7684 0.7684 0.7684  3 Np 2.74

***

A relaxed DyGa4Pt8 crystal, computed with GGA-PBE.

The value obtained for the density of states at the Fermi level is 5.32 states/eV/cell. For the total energy, the calculation gives -5.4620 eV per atom. Its magnetic moment is 0.000 μB per atom. Its calculated formation energy is -0.46 eV/atom.

Unit cell a=6.1372 b=6.1372 c=6.1372 alpha=90.00 beta=90.00 gamma=90.00
Last column: nearest neighbours and their distance in Å.
Element x y z (fractional)
Dy 0.0000 0.0000 0.0000  8 Pt 2.74
Ga 0.0000 0.5000 0.5000  8 Pt 2.63
Ga 0.5000 0.0000 0.5000  8 Pt 2.63
Ga 0.5000 0.5000 0.0000  8 Pt 2.63
Ga 0.5000 0.5000 0.5000  8 Pt 2.58
Pt 0.2576 0.2576 0.2576  4 Ga 2.58-2.63, 1 Dy 2.74
Pt 0.2576 0.2576 0.7424  4 Ga 2.58-2.63, 1 Dy 2.74
Pt 0.2576 0.7424 0.2576  4 Ga 2.58-2.63, 1 Dy 2.74
Pt 0.2576 0.7424 0.7424  4 Ga 2.58-2.63, 1 Dy 2.74
Pt 0.7424 0.2576 0.2576  4 Ga 2.58-2.63, 1 Dy 2.74
Pt 0.7424 0.2576 0.7424  4 Ga 2.58-2.63, 1 Dy 2.74
Pt 0.7424 0.7424 0.2576  4 Ga 2.58-2.63, 1 Dy 2.74
Pt 0.7424 0.7424 0.7424  4 Ga 2.58-2.63, 1 Dy 2.74

***

A relaxed LaPm5Dy2Y crystal, computed with GGA-PBE.

The value obtained for the density of states at the Fermi level is 28.83 states/eV/cell. For the total energy, the calculation gives -4.7792 eV per atom. Its magnetic moment is 0.000 μB per atom. Its calculated formation energy is 0.15 eV/atom.

Unit cell a=10.4918 b=10.4918 c=10.7185 alpha=90.00 beta=90.00 gamma=148.38
Last column: nearest neighbours and their distance in Å.
Element x y z (fractional)
La 0.0836 0.9164 0.5000  5 Pm 3.08-3.34
La 0.9164 0.0836 0.0000  5 Pm 3.08-3.34
Pm 0.0195 0.9805 0.7876  2 La 3.08-3.34
Pm 0.1138 0.8862 0.0701  6 Pm 3.56-3.90, 4 Dy 3.59-3.64, 1 Y 3.75
Pm 0.2030 0.7970 0.7549  4 Pm 3.46-3.83, 3 Y 3.55-3.79, 3 Dy 3.57-3.72, 1 La 3.64
Pm 0.2186 0.7814 0.3604  1 La 3.11, 1 Dy 3.35, 2 Pm 3.46
Pm 0.4826 0.5174 0.0708  2 La 3.25, 2 Dy 3.46
Pm 0.5174 0.4826 0.5708  2 La 3.25, 2 Dy 3.46
Pm 0.7814 0.2186 0.8604  1 La 3.11, 1 Dy 3.35, 2 Pm 3.46
Pm 0.7970 0.2030 0.2549  4 Pm 3.46-3.83, 3 Y 3.55-3.79, 3 Dy 3.57-3.72, 1 La 3.64
Pm 0.8862 0.1138 0.5701  6 Pm 3.56-3.90, 4 Dy 3.59-3.64, 1 Y 3.75
Pm 0.9805 0.0195 0.2876  2 La 3.08-3.34
Dy 0.3844 0.6156 0.3672  9 Pm 3.35-3.74, 1 Y 3.73
Dy 0.3867 0.6133 0.7796  7 Pm 3.46-3.72, 1 Y 3.47, 2 La 3.76
Dy 0.6133 0.3867 0.2796  7 Pm 3.46-3.72, 1 Y 3.47, 2 La 3.76
Dy 0.6156 0.3844 0.8672  9 Pm 3.35-3.74, 1 Y 3.73
Y 0.2992 0.7008 0.0583  2 Dy 3.47-3.73, 8 Pm 3.55-3.79, 2 La 3.76
Y 0.7008 0.2992 0.5583  2 Dy 3.47-3.73, 8 Pm 3.55-3.79, 2 La 3.76

***

A relaxed TmZr2Ru crystal, computed with GGA-PBE.

The value obtained for the density of states at the Fermi level is 4.34 states/eV/cell. For the total energy, the calculation gives -7.5729 eV per atom. Its distance to the lowest polymorph of the same formula is 0.407 eV/atom. Its magnetic moment is 0.000 μB per atom. Its calculated formation energy is 0.14 eV/atom.

Unit cell a=10.2850 b=10.2850 c=10.2850 alpha=18.27 beta=18.27 gamma=18.27
Last column: nearest neighbours and their distance in Å.
Element x y z (fractional)
Tm 0.0000 0.0000 0.0000  2 Zr 3.14, 6 Tm 3.27
Zr 0.1034 0.1034 0.1034  3 Ru 2.69
Zr 0.8966 0.8966 0.8966  3 Ru 2.69
Ru 0.5000 0.5000 0.5000  6 Zr 2.69

***

A relaxed Ca3AcCu crystal, computed with GGA-PBE.

The value obtained for the density of states at the Fermi level is 12.50 states/eV/cell. For the total energy, the calculation gives -2.8678 eV per atom. Its distance to the lowest polymorph of the same formula is 0.000 eV/atom. Its magnetic moment is 0.000 μB per atom. Its calculated formation energy is -0.03 eV/atom.

Unit cell a=6.9983 b=6.9983 c=14.3123 alpha=113.02 beta=113.02 gamma=33.81
Last column: nearest neighbours and their distance in Å.
Element x y z (fractional)
Ca 0.0000 0.0000 0.0000  1 Cu 3.39, 4 Ca 3.70-3.72
Ca 0.0134 0.0134 0.3831  2 Cu 3.07
Ca 0.3339 0.3339 0.7733  2 Cu 3.06
Ca 0.3562 0.3562 0.1398  1 Cu 3.67, 8 Ca 3.83-4.07, 3 Ac 3.88-3.96
Ca 0.5568 0.5568 0.6263  3 Cu 3.13-3.39
Ca 0.6690 0.6690 0.9017  2 Cu 3.09
Ac 0.6792 0.6792 0.2461  2 Cu 3.11
Ac 0.7953 0.7953 0.5315  3 Cu 3.11-3.33
Cu 0.0001 0.0001 0.7632  7 Ca 3.06-3.39, 1 Ac 3.33
Cu 0.3454 0.3454 0.3918  3 Ca 3.07-3.39, 4 Ac 3.11

***

A relaxed Ba2NbCrPb crystal, computed with GGA-PBE.

The value obtained for the density of states at the Fermi level is 5.60 states/eV/cell. For the total energy, the calculation gives -4.5795 eV per atom. Its magnetic moment is 0.000 μB per atom. Its calculated formation energy is 0.87 eV/atom.

Unit cell a=6.4551 b=6.4551 c=4.3740 alpha=90.00 beta=90.00 gamma=90.00
Last column: nearest neighbours and their distance in Å.
Element x y z (fractional)
Ba 0.0000 0.5000 0.0000  2 Nb 3.23
Ba 0.5000 0.0000 0.0000  2 Nb 3.23
Nb 0.0000 0.0000 0.0000  2 Cr 2.19
Cr 0.0000 0.0000 0.5000  2 Nb 2.19
Pb 0.5000 0.5000 0.5000  8 Ba 3.90

***

A relaxed NdAl3Pt2 crystal, computed with GGA-PBE.

The value obtained for the density of states at the Fermi level is 8.65 states/eV/cell. For the total energy, the calculation gives -5.7073 eV per atom. Its magnetic moment is 0.000 μB per atom. Its calculated formation energy is -1.03 eV/atom.

Unit cell a=8.5917 b=8.5917 c=10.1179 alpha=107.22 beta=107.22 gamma=28.37
Last column: nearest neighbours and their distance in Å.
Element x y z (fractional)
Nd 0.0000 0.0000 0.0000  6 Pt 3.14-3.19, 6 Al 3.25-3.45
Nd 0.1568 0.1568 0.7059  9 Al 3.20-3.50, 6 Pt 3.27-3.29
Nd 0.8432 0.8432 0.2941  9 Al 3.20-3.50, 6 Pt 3.27-3.29
Al 0.0431 0.0431 0.3561  4 Pt 2.57-2.65, 3 Al 2.77-2.78
Al 0.2149 0.2149 0.3910  4 Pt 2.46-2.61
Al 0.3265 0.3265 0.0360  4 Pt 2.59-2.63, 1 Al 2.71
Al 0.3699 0.3699 0.7985  4 Pt 2.48-2.65, 1 Al 2.71
Al 0.5000 0.5000 0.5000  4 Pt 2.52-2.72, 4 Al 2.78
Al 0.6301 0.6301 0.2015  4 Pt 2.48-2.65, 1 Al 2.71
Al 0.6735 0.6735 0.9640  4 Pt 2.59-2.63, 1 Al 2.71
Al 0.7851 0.7851 0.6090  4 Pt 2.46-2.61
Al 0.9569 0.9569 0.6439  4 Pt 2.57-2.65, 3 Al 2.77-2.78
Pt 0.1971 0.1971 0.1276  6 Al 2.59-2.63
Pt 0.3603 0.3603 0.5493  7 Al 2.46-2.65
Pt 0.4754 0.4754 0.2216  5 Al 2.57-2.72
Pt 0.5246 0.5246 0.7784  5 Al 2.57-2.72
Pt 0.6397 0.6397 0.4507  7 Al 2.46-2.65
Pt 0.8029 0.8029 0.8724  6 Al 2.59-2.63

***

A relaxed Cs2PrSn2S6 crystal, computed with GGA-PBE.

The value obtained for the density of states at the Fermi level is 4.17 states/eV/cell. For the total energy, the calculation gives -4.4916 eV per atom. The uncorrected formation energy comes out at -0.92 eV/atom. Its magnetic moment is 0.000 μB per atom.

Unit cell a=7.5950 b=7.5950 c=8.6851 alpha=116.01 beta=116.01 gamma=60.80
Last column: nearest neighbours and their distance in Å.
Element x y z (fractional)
Cs 0.2091 0.2091 0.1958  7 S 3.58-3.97
Cs 0.7909 0.7909 0.8042  7 S 3.58-3.97
Pr 0.0000 0.0000 0.5000  6 S 2.81-2.87
Sn 0.4565 0.4565 0.7994  3 S 2.38
Sn 0.5435 0.5435 0.2006  3 S 2.38
S 0.1907 0.7077 0.2180  1 Sn 2.38
S 0.2455 0.2455 0.6334  1 Sn 2.38
S 0.2923 0.8093 0.7820  1 Sn 2.38
S 0.7077 0.1907 0.2180  1 Sn 2.38
S 0.7545 0.7545 0.3666  1 Sn 2.38
S 0.8093 0.2923 0.7820  1 Sn 2.38

***

A relaxed CsTl2TeCl crystal, computed with GGA-PBE.

For the total energy, the calculation gives -2.9922 eV per atom. The uncorrected formation energy comes out at -0.88 eV/atom. Its magnetic moment is 0.000 μB per atom.

Unit cell a=8.6372 b=4.8286 c=10.3150 alpha=90.00 beta=92.70 gamma=90.00
Last column: nearest neighbours and their distance in Å.
Element x y z (fractional)
Cs 0.2483 0.2500 0.0137  3 Cl 3.36-3.39
Cs 0.7517 0.7500 0.9863  3 Cl 3.36-3.39
Tl 0.1399 0.7500 0.3790  3 Te 3.29-3.48, 1 Cl 3.42, 2 Tl 3.66
Tl 0.3269 0.2500 0.6023  1 Cl 2.94
Tl 0.6731 0.7500 0.3977  1 Cl 2.94
Tl 0.8601 0.2500 0.6210  3 Te 3.29-3.48, 1 Cl 3.42, 2 Tl 3.66
Te 0.0994 0.7500 0.7134  5 Tl 3.29-3.48
Te 0.9006 0.2500 0.2866  5 Tl 3.29-3.48
Cl 0.4437 0.7500 0.1781  1 Tl 2.94
Cl 0.5563 0.2500 0.8219  1 Tl 2.94

***

A relaxed ScInGa2Cl6 crystal, computed with GGA-PBE.

The value obtained for the density of states at the Fermi level is 0.00 states/eV/cell. For the total energy, the calculation gives -3.9094 eV per atom. The uncorrected formation energy comes out at -1.29 eV/atom. Its magnetic moment is 0.000 μB per atom.

Unit cell a=7.3840 b=7.4079 c=7.7739 alpha=61.69 beta=61.65 gamma=60.12
Last column: nearest neighbours and their distance in Å.
Element x y z (fractional)
Sc 0.0000 0.0000 0.0000  6 Cl 2.48-2.56
In 0.5122 0.5126 0.4635  6 Cl 3.08-3.35
Ga 0.3150 0.3140 0.0568  6 Cl 2.98-3.07
Ga 0.8039 0.8048 0.5883  6 Cl 2.97-3.12
Cl 0.0930 0.7738 0.7955  1 Sc 2.48
Cl 0.1859 0.6478 0.2472  1 Sc 2.56
Cl 0.3387 0.0928 0.7971  1 Sc 2.48
Cl 0.6460 0.9199 0.2462  1 Sc 2.56
Cl 0.7733 0.3377 0.7967  1 Sc 2.48
Cl 0.9191 0.1856 0.2482  1 Sc 2.56

***

A relaxed Co2AsW crystal, computed with GGA-PBE.

The value obtained for the density of states at the Fermi level is 3.78 states/eV/cell. For the total energy, the calculation gives -7.8887 eV per atom. Its magnetic moment is 0.011 μB per atom. Its calculated formation energy is 0.06 eV/atom.

Unit cell a=2.8594 b=3.5448 c=5.1575 alpha=90.00 beta=90.00 gamma=90.00
Last column: nearest neighbours and their distance in Å.
Element x y z (fractional)
Co 0.0000 0.0000 0.2439  2 Co 2.52-2.64, 4 W 2.60, 4 As 2.63
Co 0.0000 0.0000 0.7561  2 Co 2.52-2.64, 4 W 2.60, 4 As 2.63
As 0.5000 0.5000 0.5000  2 W 2.58, 8 Co 2.63, 2 As 2.86
W 0.5000 0.5000 0.0000  2 As 2.58, 8 Co 2.60, 2 W 2.86

***

> Number 11 is which compound?

ScInGa2Cl6

***

> Which of these has the highest magnetic moment?

Rb3Np3WS8